Ba3Sc2UO9: optimized geometry, GGA-PBE.

abc: 5.997 5.997 7.403
angles: 90.00 90.00 120.00
Sites, in units of the cell vectors:
1 Ba 0.000 0.000 0.000
2 Ba 0.333 0.667 0.684
3 Ba 0.667 0.333 0.316
4 Sc 0.333 0.667 0.151
5 Sc 0.667 0.333 0.849
6 U 0.000 0.000 0.500
7 O 0.000 0.500 0.000
8 O 0.164 0.329 0.336
9 O 0.164 0.836 0.336
10 O 0.329 0.164 0.664
11 O 0.500 0.000 0.000
12 O 0.500 0.500 0.000
13 O 0.671 0.836 0.336
14 O 0.836 0.164 0.664
15 O 0.836 0.671 0.664

Properties
**SG**: P-3m1
**ΔE_f (raw)**: -312.29 kJ per mole of atoms
**Total magnetization**: 0.0 μB/cell